[1]
Na3TmSc3Te8: optimized geometry, PBE-GGA.

## Properties
E_form (uncorrected) = -1159 meV/atom
V = 31.10 Å³/atom
Space group = C2/m, No. 12
Magnetization = 0.00 μB per formula unit

CIF file:
```
data_Na3TmSc3Te8
_space_group_name_H-M_alt 'P 1'
_space_group_IT_number 1
_space_group_name_Hall 'P 1'
_cell_length_a 8.352
_cell_length_b 8.352
_cell_length_c 9.100
_cell_angle_alpha 117.29
_cell_angle_beta 117.29
_cell_angle_gamma 60.03
loop_
_atom_site_label
_atom_site_fract_x
_atom_site_fract_y
_atom_site_fract_z
Na1 0.000 0.000 0.000
Na2 0.000 0.500 0.000
Na3 0.500 0.000 0.000
Tm1 0.000 0.000 0.500
Sc1 0.000 0.500 0.500
Sc2 0.500 0.000 0.500
Sc3 0.500 0.500 0.500
Te1 0.248 0.248 0.725
Te2 0.248 0.730 0.725
Te3 0.260 0.260 0.280
Te4 0.270 0.752 0.275
Te5 0.730 0.248 0.725
Te6 0.740 0.740 0.720
Te7 0.752 0.270 0.275
Te8 0.752 0.752 0.275
```


[2]
Na2TmScTe4: optimized geometry, PBE-GGA.

## Properties
E_form (uncorrected) = -1237 meV/atom
V = 30.41 Å³/atom
Space group = P2/m, No. 10
Magnetization = 0.00 μB per formula unit

CIF file:
```
data_Na2TmScTe4
_space_group_name_H-M_alt 'P 1'
_space_group_IT_number 1
_space_group_name_Hall 'P 1'
_cell_length_a 7.471
_cell_length_b 4.315
_cell_length_c 7.946
_cell_angle_alpha 90.00
_cell_angle_beta 108.26
_cell_angle_gamma 90.00
loop_
_atom_site_label
_atom_site_fract_x
_atom_site_fract_y
_atom_site_fract_z
Na1 0.000 0.000 0.000
Na2 0.500 0.500 0.000
Tm1 0.000 0.500 0.500
Sc1 0.500 0.000 0.500
Te1 0.250 0.000 0.727
Te2 0.267 0.500 0.278
Te3 0.733 0.500 0.722
Te4 0.750 0.000 0.273
```


[3]
NaTm2Sc3Te6: optimized geometry, PBE-GGA.

## Properties
E_form (uncorrected) = -1166 meV/atom
V = 27.33 Å³/atom
Space group = C2/m, No. 12
Magnetization = 0.00 μB per formula unit

CIF file:
```
data_NaTm2Sc3Te6
_space_group_name_H-M_alt 'P 1'
_space_group_IT_number 1
_space_group_name_Hall 'P 1'
_cell_length_a 9.540
_cell_length_b 9.540
_cell_length_c 8.581
_cell_angle_alpha 103.52
_cell_angle_beta 103.52
_cell_angle_gamma 25.63
loop_
_atom_site_label
_atom_site_fract_x
_atom_site_fract_y
_atom_site_fract_z
Na1 0.000 0.000 0.000
Tm1 0.333 0.333 0.664
Tm2 0.667 0.667 0.336
Sc1 0.000 0.000 0.500
Sc2 0.337 0.337 0.182
Sc3 0.663 0.663 0.818
Te1 0.164 0.164 0.585
Te2 0.172 0.172 0.077
Te3 0.500 0.500 0.259
Te4 0.500 0.500 0.741
Te5 0.828 0.828 0.923
Te6 0.836 0.836 0.415
```


[4]
Na3Sc3UTe8: optimized geometry, PBE-GGA.

## Properties
E_form (uncorrected) = -1066 meV/atom
V = 31.51 Å³/atom
Space group = R-3m, No. 166
Magnetization = 2.00 μB per formula unit

CIF file:
```
data_Na3Sc3UTe8
_space_group_name_H-M_alt 'P 1'
_space_group_IT_number 1
_space_group_name_Hall 'P 1'
_cell_length_a 9.011
_cell_length_b 9.011
_cell_length_c 9.011
_cell_angle_alpha 56.27
_cell_angle_beta 56.27
_cell_angle_gamma 56.27
loop_
_atom_site_label
_atom_site_fract_x
_atom_site_fract_y
_atom_site_fract_z
Na1 0.000 0.500 0.500
Na2 0.500 0.000 0.500
Na3 0.500 0.500 0.000
Sc1 0.000 0.000 0.500
Sc2 0.000 0.500 0.000
Sc3 0.500 0.000 0.000
U1 0.500 0.500 0.500
Te1 0.229 0.748 0.748
Te2 0.240 0.240 0.240
Te3 0.252 0.252 0.771
Te4 0.252 0.771 0.252
Te5 0.748 0.229 0.748
Te6 0.748 0.748 0.229
Te7 0.760 0.760 0.760
Te8 0.771 0.252 0.252
```


[5]
Na3Sc2UTe6: optimized geometry, PBE-GGA.

## Properties
E_form (uncorrected) = -1036 meV/atom
V = 30.46 Å³/atom
Space group = C2/m, No. 12
Magnetization = 3.01 μB per formula unit

CIF file:
```
data_Na3Sc2UTe6
_space_group_name_H-M_alt 'P 1'
_space_group_IT_number 1
_space_group_name_Hall 'P 1'
_cell_length_a 7.466
_cell_length_b 7.466
_cell_length_c 7.974
_cell_angle_alpha 99.01
_cell_angle_beta 99.01
_cell_angle_gamma 120.02
loop_
_atom_site_label
_atom_site_fract_x
_atom_site_fract_y
_atom_site_fract_z
Na1 0.000 0.000 0.000
Na2 0.338 0.662 0.000
Na3 0.662 0.338 0.000
Sc1 0.167 0.833 0.500
Sc2 0.833 0.167 0.500
U1 0.500 0.500 0.500
Te1 0.077 0.424 0.274
Te2 0.228 0.228 0.726
Te3 0.424 0.077 0.274
Te4 0.576 0.923 0.726
Te5 0.772 0.772 0.274
Te6 0.923 0.576 0.726
```


[6]
Na2Sc2UTe6: optimized geometry, PBE-GGA.

## Properties
E_form (uncorrected) = -1022 meV/atom
V = 32.68 Å³/atom
Space group = C2/m, No. 12
Magnetization = 2.00 μB per formula unit

CIF file:
```
data_Na2Sc2UTe6
_space_group_name_H-M_alt 'P 1'
_space_group_IT_number 1
_space_group_name_Hall 'P 1'
_cell_length_a 7.377
_cell_length_b 7.377
_cell_length_c 8.012
_cell_angle_alpha 98.68
_cell_angle_beta 98.68
_cell_angle_gamma 120.12
loop_
_atom_site_label
_atom_site_fract_x
_atom_site_fract_y
_atom_site_fract_z
Na1 0.162 0.838 0.000
Na2 0.838 0.162 0.000
Sc1 0.332 0.668 0.500
Sc2 0.668 0.332 0.500
U1 0.000 0.000 0.500
Te1 0.075 0.417 0.724
Te2 0.273 0.273 0.278
Te3 0.417 0.075 0.724
Te4 0.583 0.925 0.276
Te5 0.727 0.727 0.722
Te6 0.925 0.583 0.276
```


[7]
Na4Sc3VTe8: optimized geometry, PBE-GGA.

## Properties
E_form (uncorrected) = -1008 meV/atom
V = 28.59 Å³/atom
Space group = R-3m, No. 166
Magnetization = 2.13 μB per formula unit

CIF file:
```
data_Na4Sc3VTe8
_space_group_name_H-M_alt 'P 1'
_space_group_IT_number 1
_space_group_name_Hall 'P 1'
_cell_length_a 8.988
_cell_length_b 8.988
_cell_length_c 8.988
_cell_angle_alpha 55.30
_cell_angle_beta 55.30
_cell_angle_gamma 55.30
loop_
_atom_site_label
_atom_site_fract_x
_atom_site_fract_y
_atom_site_fract_z
Na1 0.000 0.000 0.000
Na2 0.000 0.500 0.500
Na3 0.500 0.000 0.500
Na4 0.500 0.500 0.000
Sc1 0.000 0.000 0.500
Sc2 0.000 0.500 0.000
Sc3 0.500 0.000 0.000
V1 0.500 0.500 0.500
Te1 0.241 0.241 0.241
Te2 0.248 0.733 0.733
Te3 0.267 0.267 0.752
Te4 0.267 0.752 0.267
Te5 0.733 0.248 0.733
Te6 0.733 0.733 0.248
Te7 0.752 0.267 0.267
Te8 0.759 0.759 0.759
```


[8]
NaY2ScTe4: optimized geometry, PBE-GGA.

## Properties
E_form (uncorrected) = -1255 meV/atom
V = 28.92 Å³/atom
Space group = P2/m, No. 10
Magnetization = 0.00 μB per formula unit

CIF file:
```
data_NaY2ScTe4
_space_group_name_H-M_alt 'P 1'
_space_group_IT_number 1
_space_group_name_Hall 'P 1'
_cell_length_a 7.499
_cell_length_b 4.312
_cell_length_c 7.566
_cell_angle_alpha 90.00
_cell_angle_beta 108.99
_cell_angle_gamma 90.00
loop_
_atom_site_label
_atom_site_fract_x
_atom_site_fract_y
_atom_site_fract_z
Na1 0.000 0.000 0.000
Y1 0.500 0.000 0.500
Y2 0.500 0.500 0.000
Sc1 0.000 0.500 0.500
Te1 0.240 0.000 0.742
Te2 0.246 0.500 0.255
Te3 0.754 0.500 0.745
Te4 0.760 0.000 0.258
```